A plane-wave DFT calculation with PBE was carried out for a relaxed structure of Cs3AsSe4.

Summary:
Formation energy without anion corrections ... -0.79 eV per atom

```
data_Cs3AsSe4
_cell_length_a 7.4434
_cell_length_b 10.8326
_cell_length_c 8.2569
_cell_angle_alpha 90.00
_cell_angle_beta 90.00
_cell_angle_gamma 90.00
_symmetry_space_group_name_H-M 'I m m 2'
_symmetry_Int_Tables_number 44
loop_
_symmetry_equiv_pos_as_xyz
'x,y,z'
'-x,-y,z'
'-x,y,z'
'x,-y,z'
'x+1/2,y+1/2,z+1/2'
'-x+1/2,-y+1/2,z+1/2'
'-x+1/2,y+1/2,z+1/2'
'x+1/2,-y+1/2,z+1/2'
loop_
_atom_site_label
_atom_site_type_symbol
_atom_site_fract_x
_atom_site_fract_y
_atom_site_fract_z
Cs1 Cs 0.0000 0.0000 0.0000
Cs2 Cs 0.0000 0.2506 0.6060
As1 As 0.0000 0.5000 0.0217
Se1 Se 0.0000 0.3205 0.1830
Se2 Se 0.2383 0.0000 0.3632
```